Compound: Ac3As
Source: Alexandria
Functional: PBE
Structure: relaxed

Properties
Energy   -18.65 eV for the cell shown
Formation energy from the elements   -9.7 kcal/mol of atoms

Lattice parameters (Å, degrees): 4.0832 4.1459 10.0625 90.00 90.00 90.00
Element x y z (fractional)
1 Ac 0.0000 0.0000 0.0000
2 Ac 0.0000 0.5000 0.3618
3 Ac 0.5000 0.5000 0.7165
4 As 0.5000 0.0000 0.2459